Entry 1:
The following is a DFT calculation (PBE) of a relaxed TiPd2RuN crystal.

Cell: 4.788 4.788 3.715 Å, 90.00 90.00 90.00°
Space group P4/mmm (No. 123)
Inequivalent atoms, fractional coordinates:
Ti (0.000, 0.000, 0.000) x1
Pd (0.000, 0.500, 0.000) x2
Ru (0.500, 0.500, 0.500) x1
N (0.000, 0.000, 0.500) x1

Values from the calculation:
V, Å³/atom: 17.03
Energy relative to the elements, uncorrected, eV/atom: 0.84
Density of states at the Fermi level, states/eV per atom: 0.568

***

Entry 2:
The following is a DFT calculation (PBE) of a relaxed SiB2S crystal.

Cell: 5.507 5.507 5.507 Å, 90.00 90.00 90.00°
Space group Fm-3m (No. 225)
Inequivalent atoms, fractional coordinates:
Si (0.000, 0.000, 0.000) x4
B (0.250, 0.250, 0.250) x8
S (0.000, 0.000, 0.500) x4

Values from the calculation:
V, Å³/atom: 10.44
Energy relative to the elements, uncorrected, eV/atom: 1.59
Density of states at the Fermi level, states/eV per atom: 0.540

***

> What is the formula in the second record?

SiB2S

***

> Which of these has the lowest density of states at the Fermi level?

SiB2S